1.
{
  "formula": "ZrWAu2",
  "functional": "PBE-GGA",
  "state": "optimized geometry",
  "lattice_angstrom": [[9.923, -0.032, -0.019], [9.493, 2.889, -0.019], [9.493, 1.397, 2.529]],
  "species": ["Au", "Au", "W", "Zr"],
  "frac_coords": [[0.999, 0.999, 0.999], [0.248, 0.248, 0.248], [0.504, 0.504, 0.504], [0.749, 0.749, 0.749]],
  "de_polymorph_mev_per_atom": 192,
  "space_group": "No. 160"
}


2.
{
  "formula": "ZrWAu2",
  "functional": "PBE-GGA",
  "state": "optimized geometry",
  "lattice_angstrom": [[3.238, 0.000, 0.000], [0.000, 3.723, 0.000], [0.000, 0.000, 6.102]],
  "species": ["Au", "Au", "W", "Zr"],
  "frac_coords": [[0.000, 0.000, 0.006], [0.500, 0.500, 0.257], [0.000, 0.000, 0.486], [0.500, 0.500, 0.750]],
  "de_polymorph_mev_per_atom": 0,
  "space_group": "No. 25"
}


3.
{
  "formula": "ZrW2Au",
  "functional": "PBE-GGA",
  "state": "optimized geometry",
  "lattice_angstrom": [[-9.010, -4.651, -1.644], [-8.667, -5.404, 1.094], [-9.849, -2.883, 0.441]],
  "species": ["Au", "W", "W", "Zr"],
  "frac_coords": [[0.750, 0.750, 0.750], [0.005, 0.005, 0.005], [0.495, 0.495, 0.495], [0.250, 0.250, 0.250]],
  "de_polymorph_mev_per_atom": 413,
  "space_group": "No. 166"
}


4.
{
  "formula": "YAu",
  "functional": "PBE-GGA",
  "state": "optimized geometry",
  "lattice_angstrom": [[-2.702, 0.693, -2.287], [1.921, -1.423, -2.701], [-1.421, -3.242, 0.697]],
  "species": ["Y", "Au"],
  "frac_coords": [[0.500, 0.500, 0.500], [0.000, 0.000, 0.000]],
  "total_energy_ev_per_atom": -5.73,
  "space_group": "No. 221"
}


5.
{
  "formula": "Y4Au",
  "functional": "PBE-GGA",
  "state": "optimized geometry",
  "lattice_angstrom": [[-3.161, 3.845, 2.503], [1.641, -1.891, 4.977], [4.284, 3.561, -0.060]],
  "species": ["Y", "Y", "Y", "Y", "Au"],
  "frac_coords": [[0.000, 0.000, 0.000], [0.500, 0.000, 0.500], [0.000, 0.500, 0.500], [0.500, 0.500, 0.000], [0.500, 0.500, 0.500]],
  "de_polymorph_mev_per_atom": 191,
  "space_group": "No. 221"
}


6.
{
  "formula": "Y5Au3",
  "functional": "PBE-GGA",
  "state": "optimized geometry",
  "lattice_angstrom": [[6.503, -0.368, 0.371], [-3.722, 8.293, -0.506], [3.720, -0.505, 8.294]],
  "species": ["Au", "Au", "Au", "Au", "Au", "Au", "Y", "Y", "Y", "Y", "Y", "Y", "Y", "Y", "Y", "Y"],
  "frac_coords": [[0.845, 0.192, 0.506], [0.250, 0.997, 0.997], [0.656, 0.506, 0.192], [0.344, 0.494, 0.808], [0.750, 0.003, 0.004], [0.155, 0.808, 0.494], [0.856, 0.694, 0.875], [0.708, 0.885, 0.290], [0.250, 0.516, 0.517], [0.792, 0.289, 0.885], [0.644, 0.874, 0.694], [0.356, 0.126, 0.306], [0.208, 0.711, 0.116], [0.750, 0.484, 0.484], [0.292, 0.115, 0.711], [0.144, 0.306, 0.126]],
  "de_polymorph_mev_per_atom": 4,
  "space_group": "No. 15"
}


7.
{
  "formula": "YAu4",
  "functional": "PBE-GGA",
  "state": "optimized geometry",
  "lattice_angstrom": [[-3.232, 3.232, 3.232], [3.232, -3.232, 3.232], [3.232, 3.232, -3.232]],
  "species": ["Y", "Au", "Au", "Au", "Au"],
  "frac_coords": [[0.000, 0.000, 0.000], [0.500, 0.000, 0.000], [0.500, 0.500, 0.500], [0.000, 0.500, 0.000], [0.000, 0.000, 0.500]],
  "total_energy_ev_per_atom": -3.74,
  "space_group": "No. 229"
}


8.
{
  "formula": "Y3Au",
  "functional": "PBE-GGA",
  "state": "optimized geometry",
  "lattice_angstrom": [[5.325, 0.000, 0.000], [2.662, 4.612, 0.000], [2.662, 1.537, 4.348]],
  "species": ["Au", "Y", "Y", "Y"],
  "frac_coords": [[0.000, 0.000, 0.000], [0.250, 0.250, 0.250], [0.500, 0.500, 0.500], [0.750, 0.750, 0.750]],
  "total_energy_ev_per_atom": -5.79,
  "space_group": "No. 225"
}


9.
{
  "formula": "YAu2",
  "functional": "PBE-GGA",
  "state": "optimized geometry",
  "lattice_angstrom": [[-2.005, 2.981, 5.624], [2.005, -2.981, 5.624], [2.005, 2.981, -5.624]],
  "species": ["Y", "Y", "Au", "Au", "Au", "Au"],
  "frac_coords": [[0.672, 0.172, 0.500], [0.328, 0.828, 0.500], [0.258, 0.500, 0.758], [0.136, 0.136, 0.000], [0.864, 0.864, 0.000], [0.742, 0.500, 0.242]],
  "total_energy_ev_per_atom": -5.07,
  "space_group": "No. 71"
}


10.
{
  "formula": "YAu2",
  "functional": "PBE-GGA",
  "state": "optimized geometry",
  "lattice_angstrom": [[3.751, 0.000, 0.000], [0.000, 3.751, 0.000], [-1.875, -1.875, 4.552]],
  "species": ["Au", "Au", "Y"],
  "frac_coords": [[0.335, 0.335, 0.670], [0.665, 0.665, 0.330], [0.000, 0.000, 0.000]],
  "total_energy_ev_per_atom": -5.20,
  "space_group": "No. 139"
}


11.
{
  "formula": "Y5Au3",
  "functional": "PBE-GGA",
  "state": "optimized geometry",
  "lattice_angstrom": [[-1.903, 7.059, 1.370], [-5.946, -0.748, -4.406], [-0.204, -5.424, 7.475]],
  "species": ["Y", "Y", "Y", "Y", "Y", "Y", "Y", "Y", "Y", "Y", "Au", "Au", "Au", "Au", "Au", "Au"],
  "frac_coords": [[0.000, 0.000, 0.000], [0.500, 0.500, 0.000], [0.516, 0.016, 0.698], [0.182, 0.682, 0.698], [0.682, 0.516, 0.698], [0.016, 0.182, 0.698], [0.484, 0.984, 0.302], [0.818, 0.318, 0.302], [0.318, 0.484, 0.302], [0.984, 0.818, 0.302], [0.750, 0.750, 0.500], [0.250, 0.250, 0.500], [0.135, 0.635, 0.000], [0.865, 0.365, 0.000], [0.365, 0.135, 0.000], [0.635, 0.865, 0.000]],
  "de_polymorph_mev_per_atom": 0,
  "space_group": "No. 140"
}


12.
{
  "formula": "Y5Au3",
  "functional": "PBE-GGA",
  "state": "optimized geometry",
  "lattice_angstrom": [[8.709, 0.000, 0.000], [4.355, 7.542, 0.000], [0.000, 0.000, 6.325]],
  "species": ["Au", "Au", "Au", "Au", "Au", "Au", "Y", "Y", "Y", "Y", "Y", "Y", "Y", "Y", "Y", "Y"],
  "frac_coords": [[0.603, 0.398, 0.750], [0.398, 0.602, 0.250], [0.398, 0.000, 0.750], [0.000, 0.398, 0.250], [0.602, 0.000, 0.250], [0.000, 0.603, 0.750], [0.756, 0.244, 0.250], [0.244, 0.756, 0.750], [0.244, 0.000, 0.250], [0.000, 0.244, 0.750], [0.667, 0.667, 0.000], [0.667, 0.667, 0.500], [0.333, 0.333, 0.000], [0.333, 0.333, 0.500], [0.756, 0.000, 0.750], [0.000, 0.756, 0.250]],
  "de_polymorph_mev_per_atom": 6,
  "space_group": "No. 193"
}


13.
{
  "formula": "Y4Au",
  "functional": "PBE-GGA",
  "state": "optimized geometry",
  "lattice_angstrom": [[2.123, -3.494, 4.193], [-0.952, 5.752, 0.550], [-5.424, -2.087, -0.721]],
  "species": ["Y", "Y", "Y", "Y", "Au"],
  "frac_coords": [[0.175, 0.638, 0.813], [0.825, 0.362, 0.187], [0.362, 0.175, 0.538], [0.638, 0.825, 0.462], [0.000, 0.000, 0.000]],
  "de_polymorph_mev_per_atom": 70,
  "space_group": "No. 87"
}


14.
{
  "formula": "YAu2",
  "functional": "PBE-GGA",
  "state": "optimized geometry",
  "lattice_angstrom": [[2.467, -5.224, -0.569], [-2.210, -1.135, 5.247], [-3.680, 1.700, -4.155]],
  "species": ["Y", "Y", "Au", "Au", "Au", "Au"],
  "frac_coords": [[0.250, 0.250, 0.000], [0.750, 0.750, 0.000], [0.159, 0.341, 0.500], [0.341, 0.841, 0.182], [0.659, 0.159, 0.818], [0.841, 0.659, 0.500]],
  "total_energy_ev_per_atom": -4.91,
  "space_group": "No. 140"
}


15.
{
  "formula": "Y3Au",
  "functional": "PBE-GGA",
  "state": "optimized geometry",
  "lattice_angstrom": [[3.597, 0.000, 0.000], [0.001, 3.597, 0.000], [0.000, 0.000, 8.757]],
  "species": ["Y", "Y", "Y", "Au"],
  "frac_coords": [[0.000, 0.000, 0.500], [0.500, 0.500, 0.205], [0.500, 0.500, 0.795], [0.000, 0.000, 0.000]],
  "total_energy_ev_per_atom": -6.06,
  "space_group": "No. 123"
}


16.
{
  "formula": "YAu",
  "functional": "PBE-GGA",
  "state": "optimized geometry",
  "lattice_angstrom": [[-0.983, 2.317, -2.790], [-4.127, -0.007, 3.979], [1.108, 6.162, 4.727]],
  "species": ["Au", "Au", "Au", "Y", "Y", "Y"],
  "frac_coords": [[0.104, 0.209, 0.995], [0.361, 0.721, 0.700], [0.266, 0.532, 0.363], [0.635, 0.271, 0.690], [0.982, 0.964, 0.385], [0.818, 0.636, 0.034]],
  "total_energy_ev_per_atom": -5.66,
  "space_group": "No. 8"
}


17.
{
  "formula": "YAu2",
  "functional": "PBE-GGA",
  "state": "optimized geometry",
  "lattice_angstrom": [[6.851, -5.889, 3.987], [3.685, -4.296, 8.092], [-6.875, 2.947, -6.446]],
  "species": ["Y", "Y", "Au", "Au", "Au", "Au"],
  "frac_coords": [[0.000, 0.000, 0.000], [0.750, 0.250, 0.500], [0.323, 0.823, 0.500], [0.177, 0.677, 0.500], [0.573, 0.573, 0.000], [0.427, 0.427, 0.000]],
  "total_energy_ev_per_atom": -5.05,
  "space_group": "No. 141"
}


18.
{
  "formula": "YAu",
  "functional": "PBE-GGA",
  "state": "optimized geometry",
  "lattice_angstrom": [[8.691, 0.000, 0.000], [0.000, 8.691, 0.000], [0.000, 0.000, 8.691]],
  "species": ["Y", "Y", "Y", "Y", "Y", "Y", "Y", "Y", "Au", "Au", "Au", "Au", "Au", "Au", "Au", "Au"],
  "frac_coords": [[0.194, 0.194, 0.194], [0.194, 0.806, 0.806], [0.806, 0.194, 0.806], [0.806, 0.806, 0.194], [0.694, 0.694, 0.694], [0.694, 0.306, 0.306], [0.306, 0.694, 0.306], [0.306, 0.306, 0.694], [0.377, 0.377, 0.377], [0.377, 0.623, 0.623], [0.623, 0.377, 0.623], [0.623, 0.623, 0.377], [0.877, 0.877, 0.877], [0.877, 0.123, 0.123], [0.123, 0.877, 0.123], [0.123, 0.123, 0.877]],
  "total_energy_ev_per_atom": -4.91,
  "space_group": "No. 217"
}


19.
{
  "formula": "YAu",
  "functional": "PBE-GGA",
  "state": "optimized geometry",
  "lattice_angstrom": [[8.039, 0.000, 0.000], [0.000, 8.039, 0.000], [0.000, 0.000, 8.039]],
  "species": ["Y", "Y", "Y", "Y", "Y", "Y", "Au", "Au", "Au", "Au", "Au", "Au"],
  "frac_coords": [[0.250, 0.000, 0.500], [0.750, 0.000, 0.500], [0.000, 0.500, 0.250], [0.000, 0.500, 0.750], [0.500, 0.250, 0.000], [0.500, 0.750, 0.000], [0.250, 0.500, 0.000], [0.750, 0.500, 0.000], [0.500, 0.000, 0.250], [0.500, 0.000, 0.750], [0.000, 0.250, 0.500], [0.000, 0.750, 0.500]],
  "total_energy_ev_per_atom": -4.92,
  "space_group": "No. 223"
}


20.
{
  "formula": "Y4Au",
  "functional": "PBE-GGA",
  "state": "optimized geometry",
  "lattice_angstrom": [[7.120, -0.208, 0.000], [-2.935, 6.490, 0.000], [-2.092, -3.141, 6.742]],
  "species": ["Y", "Y", "Y", "Y", "Y", "Y", "Y", "Y", "Au", "Au"],
  "frac_coords": [[0.644, 0.487, 0.772], [0.715, 0.872, 0.228], [0.780, 0.045, 0.861], [0.184, 0.919, 0.139], [0.295, 0.530, 0.361], [0.169, 0.934, 0.639], [0.122, 0.465, 0.728], [0.737, 0.394, 0.272], [0.328, 0.328, 0.000], [0.578, 0.078, 0.500]],
  "de_polymorph_mev_per_atom": 0,
  "space_group": "No. 43"
}


21.
{
  "formula": "YAu5",
  "functional": "PBE-GGA",
  "state": "optimized geometry",
  "lattice_angstrom": [[5.188, 0.000, 0.000], [-2.594, 4.493, 0.000], [0.000, 0.000, 5.044]],
  "species": ["Au", "Au", "Au", "Au", "Au", "Y"],
  "frac_coords": [[0.998, 0.000, 0.000], [0.668, 0.335, 0.000], [0.333, 0.665, 0.000], [0.000, 0.333, 0.500], [0.667, 0.667, 0.500], [0.333, 0.000, 0.500]],
  "total_energy_ev_per_atom": -4.24,
  "space_group": "No. 189"
}


22.
{
  "formula": "YAu5",
  "functional": "PBE-GGA",
  "state": "optimized geometry",
  "lattice_angstrom": [[4.170, 0.000, 0.000], [-2.085, 4.742, 0.028], [0.000, 1.797, 5.981]],
  "species": ["Au", "Au", "Au", "Au", "Au", "Y"],
  "frac_coords": [[0.028, 0.057, 0.935], [0.360, 0.719, 0.773], [0.694, 0.389, 0.611], [0.029, 0.059, 0.450], [0.360, 0.721, 0.287], [0.694, 0.389, 0.111]],
  "total_energy_ev_per_atom": -4.23,
  "space_group": "No. 12"
}


23.
{
  "formula": "YAu",
  "functional": "PBE-GGA",
  "state": "optimized geometry",
  "lattice_angstrom": [[-6.914, 5.527, -7.737], [-6.790, -0.349, 5.819], [2.165, 6.818, 2.936]],
  "species": ["Y", "Y", "Y", "Y", "Y", "Y", "Y", "Y", "Y", "Y", "Y", "Y", "Y", "Y", "Y", "Y", "Au", "Au", "Au", "Au", "Au", "Au", "Au", "Au", "Au", "Au", "Au", "Au", "Au", "Au", "Au", "Au"],
  "frac_coords": [[0.000, 0.208, 0.000], [0.000, 0.792, 0.000], [0.250, 0.542, 0.250], [0.250, 0.958, 0.250], [0.000, 0.708, 0.500], [0.000, 0.292, 0.500], [0.250, 0.042, 0.750], [0.250, 0.458, 0.750], [0.500, 0.208, 0.500], [0.500, 0.792, 0.500], [0.750, 0.542, 0.750], [0.750, 0.958, 0.750], [0.500, 0.708, 0.000], [0.500, 0.292, 0.000], [0.750, 0.042, 0.250], [0.750, 0.458, 0.250], [0.000, 0.000, 0.305], [0.000, 0.000, 0.695], [0.250, 0.750, 0.945], [0.250, 0.750, 0.555], [0.000, 0.500, 0.805], [0.000, 0.500, 0.195], [0.250, 0.250, 0.445], [0.250, 0.250, 0.055], [0.500, 0.000, 0.805], [0.500, 0.000, 0.195], [0.750, 0.750, 0.445], [0.750, 0.750, 0.055], [0.500, 0.500, 0.305], [0.500, 0.500, 0.695], [0.750, 0.250, 0.945], [0.750, 0.250, 0.555]],
  "total_energy_ev_per_atom": -5.65,
  "space_group": "No. 70"
}


24.
{
  "formula": "YAu2",
  "functional": "PBE-GGA",
  "state": "optimized geometry",
  "lattice_angstrom": [[3.403, 6.683, 2.513], [-5.735, 0.286, -5.439], [-2.635, 0.291, 2.793]],
  "species": ["Y", "Y", "Y", "Au", "Au", "Au", "Au", "Au", "Au"],
  "frac_coords": [[0.000, 0.000, 0.500], [0.333, 0.667, 0.000], [0.667, 0.333, 0.000], [0.000, 0.276, 0.000], [0.000, 0.616, 0.500], [0.276, 0.000, 0.000], [0.724, 0.724, 0.000], [0.616, 0.000, 0.500], [0.384, 0.384, 0.500]],
  "total_energy_ev_per_atom": -4.94,
  "space_group": "No. 189"
}